Run one
A PBEsol-optimized structure of P2W, computed with meta-GGA SCAN.

V   14.42 Å³/atom

Cell and atoms, written as CIF:
```
data_P2W
_space_group_name_H-M_alt 'C 1 2/m 1'
_space_group_IT_number 12
_cell_length_a 8.456
_cell_length_b 3.147
_cell_length_c 7.451
_cell_angle_alpha 90.00
_cell_angle_beta 119.25
_cell_angle_gamma 90.00
loop_
_space_group_symop_operation_xyz
'x,y,z'
'-x,-y,-z'
'-x,y,-z'
'x,-y,z'
'x+1/2,y+1/2,z'
'-x+1/2,-y+1/2,-z'
'-x+1/2,y+1/2,-z'
'x+1/2,-y+1/2,z'
loop_
_atom_site_label
_atom_site_fract_x
_atom_site_fract_y
_atom_site_fract_z
_atom_site_occupancy
P1 0.101 0.000 0.399 1
P2 0.139 0.500 0.025 1
W1 0.158 0.500 0.706 1
```

***

Run two
A PBEsol-optimized structure of P2W, computed with meta-GGA SCAN.

V   14.47 Å³/atom

Cell and atoms, written as CIF:
```
data_P2W
_space_group_name_H-M_alt 'C m c 21'
_space_group_IT_number 36
_cell_length_a 3.151
_cell_length_b 11.134
_cell_length_c 4.948
_cell_angle_alpha 90.00
_cell_angle_beta 90.00
_cell_angle_gamma 90.00
loop_
_space_group_symop_operation_xyz
'x,y,z'
'-x,-y,z+1/2'
'-x,y,z'
'x,-y,z+1/2'
'x+1/2,y+1/2,z'
'-x+1/2,-y+1/2,z+1/2'
'-x+1/2,y+1/2,z'
'x+1/2,-y+1/2,z+1/2'
loop_
_atom_site_label
_atom_site_fract_x
_atom_site_fract_y
_atom_site_fract_z
_atom_site_occupancy
P1 0.000 0.070 0.000 1
P2 0.000 0.203 0.682 1
W1 0.000 0.407 0.883 1
```

***

Stability summary: most stable run two, least stable run one.

***

Run one
A PBEsol-optimized structure of ZrP2W, computed with meta-GGA SCAN.

V   15.93 Å³/atom

Cell and atoms, written as CIF:
```
data_ZrP2W
_space_group_name_H-M_alt 'I m m 2'
_space_group_IT_number 44
_cell_length_a 3.261
_cell_length_b 3.385
_cell_length_c 11.549
_cell_angle_alpha 90.00
_cell_angle_beta 90.00
_cell_angle_gamma 90.00
loop_
_space_group_symop_operation_xyz
'x,y,z'
'-x,-y,z'
'-x,y,z'
'x,-y,z'
'x+1/2,y+1/2,z+1/2'
'-x+1/2,-y+1/2,z+1/2'
'-x+1/2,y+1/2,z+1/2'
'x+1/2,-y+1/2,z+1/2'
loop_
_atom_site_label
_atom_site_fract_x
_atom_site_fract_y
_atom_site_fract_z
_atom_site_occupancy
Zr1 0.000 0.000 0.000 1
P1 0.000 0.000 0.409 1
P2 0.000 0.500 0.172 1
W1 0.000 0.500 0.752 1
```

***

Run two
A PBEsol-optimized structure of ZrP2W, computed with meta-GGA SCAN.

V   16.21 Å³/atom

Cell and atoms, written as CIF:
```
data_ZrP2W
_space_group_name_H-M_alt 'P m m m'
_space_group_IT_number 47
_cell_length_a 3.299
_cell_length_b 3.988
_cell_length_c 4.928
_cell_angle_alpha 90.00
_cell_angle_beta 90.00
_cell_angle_gamma 90.00
loop_
_space_group_symop_operation_xyz
'x,y,z'
'-x,-y,-z'
'-x,-y,z'
'x,y,-z'
'x,-y,-z'
'-x,y,z'
'-x,y,-z'
'x,-y,z'
loop_
_atom_site_label
_atom_site_fract_x
_atom_site_fract_y
_atom_site_fract_z
_atom_site_occupancy
Zr1 0.000 0.000 0.000 1
P1 0.500 0.500 0.228 1
W1 0.500 0.000 0.500 1
```

***

Stability summary: most stable run one, least stable run two.

***

Run one
A PBEsol-optimized structure of Y2ZnP, computed with meta-GGA SCAN.

V   22.50 Å³/atom

Cell and atoms, written as CIF:
```
data_Y2ZnP
_space_group_name_H-M_alt 'C m m 2'
_space_group_IT_number 35
_cell_length_a 4.318
_cell_length_b 5.406
_cell_length_c 7.712
_cell_angle_alpha 90.00
_cell_angle_beta 90.00
_cell_angle_gamma 90.00
loop_
_space_group_symop_operation_xyz
'x,y,z'
'-x,-y,z'
'-x,y,z'
'x,-y,z'
'x+1/2,y+1/2,z'
'-x+1/2,-y+1/2,z'
'-x+1/2,y+1/2,z'
'x+1/2,-y+1/2,z'
loop_
_atom_site_label
_atom_site_fract_x
_atom_site_fract_y
_atom_site_fract_z
_atom_site_occupancy
Y1 0.000 0.000 0.000 1
Y2 0.000 0.500 0.373 1
Zn1 0.000 0.500 0.755 1
P1 0.000 0.000 0.597 1
```

***

Run two
A PBEsol-optimized structure of Y2ZnP, computed with meta-GGA SCAN.

V   20.90 Å³/atom

Cell and atoms, written as CIF:
```
data_Y2ZnP
_space_group_name_H-M_alt 'A m m 2'
_space_group_IT_number 38
_cell_length_a 3.879
_cell_length_b 4.099
_cell_length_c 10.516
_cell_angle_alpha 90.00
_cell_angle_beta 90.00
_cell_angle_gamma 90.00
loop_
_space_group_symop_operation_xyz
'x,y,z'
'-x,-y,z'
'-x,y,z'
'x,-y,z'
'x,y+1/2,z+1/2'
'-x,-y+1/2,z+1/2'
'-x,y+1/2,z+1/2'
'x,-y+1/2,z+1/2'
loop_
_atom_site_label
_atom_site_fract_x
_atom_site_fract_y
_atom_site_fract_z
_atom_site_occupancy
Y1 0.000 0.000 0.000 1
Y2 0.500 0.000 0.285 1
Zn1 0.500 0.000 0.567 1
P1 0.000 0.000 0.722 1
```

***

Stability summary: most stable run two, least stable run one.

***

Run one
A PBEsol-optimized structure of Y2ZnP, computed with meta-GGA SCAN.

V   23.20 Å³/atom

Cell and atoms, written as CIF:
```
data_Y2ZnP
_space_group_name_H-M_alt 'R -3 m'
_space_group_IT_number 166
_space_group_name_Hall '-R 3 2"'
_cell_length_a 3.9109
_cell_length_b 3.9109
_cell_length_c 21.0180
_cell_angle_alpha 90.00
_cell_angle_beta 90.00
_cell_angle_gamma 120.00
loop_
_atom_site_label
_atom_site_fract_x
_atom_site_fract_y
_atom_site_fract_z
_atom_site_occupancy
Y1 0.0000 0.0000 0.2402 1
Zn1 0.0000 0.0000 0.0000 1
P1 0.0000 0.0000 0.5000 1
```

***

Run two
A PBEsol-optimized structure of Y2ZnP, computed with meta-GGA SCAN.

V   20.63 Å³/atom

Cell and atoms, written as CIF:
```
data_Y2ZnP
_space_group_name_H-M_alt 'F -4 3 m'
_space_group_IT_number 216
_space_group_name_Hall 'F -4 2 3'
_cell_length_a 6.911
_cell_length_b 6.911
_cell_length_c 6.911
_cell_angle_alpha 90.00
_cell_angle_beta 90.00
_cell_angle_gamma 90.00
loop_
_atom_site_label
_atom_site_fract_x
_atom_site_fract_y
_atom_site_fract_z
_atom_site_occupancy
Y1 0.000 0.000 0.000 1
Y2 0.250 0.250 0.250 1
Zn1 0.250 0.250 0.750 1
P1 0.000 0.000 0.500 1
```

***

Stability summary: most stable run one, least stable run two.

***

Run one
A PBEsol-optimized structure of Y2ZnP, computed with meta-GGA SCAN.

V   20.67 Å³/atom

Cell and atoms, written as CIF:
```
data_Y2ZnP
_space_group_name_H-M_alt 'I m m 2'
_space_group_IT_number 44
_cell_length_a 3.716
_cell_length_b 4.297
_cell_length_c 10.354
_cell_angle_alpha 90.00
_cell_angle_beta 90.00
_cell_angle_gamma 90.00
loop_
_space_group_symop_operation_xyz
'x,y,z'
'-x,-y,z'
'-x,y,z'
'x,-y,z'
'x+1/2,y+1/2,z+1/2'
'-x+1/2,-y+1/2,z+1/2'
'-x+1/2,y+1/2,z+1/2'
'x+1/2,-y+1/2,z+1/2'
loop_
_atom_site_label
_atom_site_fract_x
_atom_site_fract_y
_atom_site_fract_z
_atom_site_occupancy
Y1 0.000 0.000 0.000 1
Y2 0.000 0.500 0.237 1
Zn1 0.000 0.500 0.782 1
P1 0.000 0.000 0.453 1
```

***

Run two
A PBEsol-optimized structure of Y2ZnP, computed with meta-GGA SCAN.

V   20.50 Å³/atom

Cell and atoms, written as CIF:
```
data_Y2ZnP
_space_group_name_H-M_alt 'P 1 2/m 1'
_space_group_IT_number 10
_cell_length_a 3.548
_cell_length_b 3.549
_cell_length_c 6.512
_cell_angle_alpha 90.00
_cell_angle_beta 90.10
_cell_angle_gamma 90.00
loop_
_space_group_symop_operation_xyz
'x,y,z'
'-x,-y,-z'
'-x,y,-z'
'x,-y,z'
loop_
_atom_site_label
_atom_site_fract_x
_atom_site_fract_y
_atom_site_fract_z
_atom_site_occupancy
Y1 0.001 0.000 0.265 1
Zn1 0.500 0.500 0.000 1
P1 0.500 0.500 0.500 1
```

***

Stability summary: most stable run two, least stable run one.

***

Run one
A PBEsol-optimized structure of YZrP2, computed with meta-GGA SCAN.

V   19.68 Å³/atom

Cell and atoms, written as CIF:
```
data_YZrP2
_space_group_name_H-M_alt 'R -3 m'
_space_group_IT_number 166
_space_group_name_Hall '-R 3 2"'
_cell_length_a 3.8017
_cell_length_b 3.8017
_cell_length_c 18.8652
_cell_angle_alpha 90.00
_cell_angle_beta 90.00
_cell_angle_gamma 120.00
loop_
_atom_site_label
_atom_site_fract_x
_atom_site_fract_y
_atom_site_fract_z
_atom_site_occupancy
Y1 0.0000 0.0000 0.0000 1
Zr1 0.0000 0.0000 0.5000 1
P1 0.0000 0.0000 0.2452 1
```

***

Run two
A PBEsol-optimized structure of YZrP2, computed with meta-GGA SCAN.

V   19.66 Å³/atom

Cell and atoms, written as CIF:
```
data_YZrP2
_space_group_name_H-M_alt 'P 4/m m m'
_space_group_IT_number 123
_space_group_name_Hall '-P 4 2'
_cell_length_a 3.822
_cell_length_b 3.822
_cell_length_c 5.382
_cell_angle_alpha 90.00
_cell_angle_beta 90.00
_cell_angle_gamma 90.00
loop_
_atom_site_label
_atom_site_fract_x
_atom_site_fract_y
_atom_site_fract_z
_atom_site_occupancy
Y1 0.000 0.000 0.000 1
Zr1 0.500 0.500 0.500 1
P1 0.000 0.000 0.500 1
P2 0.500 0.500 0.000 1
```

***

Stability summary: most stable run one, least stable run two.

***

Run one
A PBEsol-optimized structure of Zn3P2, computed with meta-GGA SCAN.

V   16.13 Å³/atom

Cell and atoms, written as CIF:
```
data_Zn3P2
_space_group_name_H-M_alt 'P -3 m 1'
_space_group_IT_number 164
_space_group_name_Hall '-P 3 2"'
_cell_length_a 3.8329
_cell_length_b 3.8329
_cell_length_c 6.3404
_cell_angle_alpha 90.00
_cell_angle_beta 90.00
_cell_angle_gamma 120.00
loop_
_atom_site_label
_atom_site_fract_x
_atom_site_fract_y
_atom_site_fract_z
_atom_site_occupancy
Zn1 0.0000 0.0000 0.0000 1
Zn2 0.3333 0.6667 0.3761 1
P1 0.3333 0.6667 0.7719 1
```

***

Run two
A PBEsol-optimized structure of Zn3P2, computed with meta-GGA SCAN.

V   17.86 Å³/atom

Cell and atoms, written as CIF:
```
data_Zn3P2
_space_group_name_H-M_alt 'P 42/n m c'
_space_group_IT_number 137
_cell_length_a 7.974
_cell_length_b 7.974
_cell_length_c 11.233
_cell_angle_alpha 90.00
_cell_angle_beta 90.00
_cell_angle_gamma 90.00
loop_
_space_group_symop_operation_xyz
'x,y,z'
'-x,-y,-z'
'-y+1/2,x,z+1/2'
'y+1/2,-x,-z+1/2'
'-x+1/2,-y+1/2,z'
'x+1/2,y+1/2,-z'
'y,-x+1/2,z+1/2'
'-y,x+1/2,-z+1/2'
'x+1/2,-y,-z'
'-x+1/2,y,z'
'-y,-x,-z+1/2'
'y,x,z+1/2'
'-x,y+1/2,-z'
'x,-y+1/2,z'
'y+1/2,x+1/2,-z+1/2'
'-y+1/2,-x+1/2,z+1/2'
loop_
_atom_site_label
_atom_site_fract_x
_atom_site_fract_y
_atom_site_fract_z
_atom_site_occupancy
Zn1 0.003 0.750 0.106 1
Zn2 0.028 0.250 0.634 1
Zn3 0.028 0.750 0.640 1
P1 0.002 0.502 0.250 1
P2 0.250 0.250 0.496 1
P3 0.250 0.750 0.502 1
```

***

Stability summary: most stable run two, least stable run one.

***

Run one
A PBEsol-optimized structure of ZrZnP2, computed with meta-GGA SCAN.

V   17.48 Å³/atom

Cell and atoms, written as CIF:
```
data_ZrZnP2
_space_group_name_H-M_alt 'R -3 m'
_space_group_IT_number 166
_space_group_name_Hall '-R 3 2"'
_cell_length_a 3.6773
_cell_length_b 3.6773
_cell_length_c 17.9155
_cell_angle_alpha 90.00
_cell_angle_beta 90.00
_cell_angle_gamma 120.00
loop_
_atom_site_label
_atom_site_fract_x
_atom_site_fract_y
_atom_site_fract_z
_atom_site_occupancy
Zr1 0.0000 0.0000 0.0000 1
Zn1 0.0000 0.0000 0.5000 1
P1 0.0000 0.0000 0.2466 1
```

***

Run two
A PBEsol-optimized structure of ZrZnP2, computed with meta-GGA SCAN.

V   15.67 Å³/atom

Cell and atoms, written as CIF:
```
data_ZrZnP2
_space_group_name_H-M_alt 'I -4 m 2'
_space_group_IT_number 119
_space_group_name_Hall 'I -4 -2'
_cell_length_a 3.671
_cell_length_b 3.671
_cell_length_c 9.300
_cell_angle_alpha 90.00
_cell_angle_beta 90.00
_cell_angle_gamma 90.00
loop_
_atom_site_label
_atom_site_fract_x
_atom_site_fract_y
_atom_site_fract_z
_atom_site_occupancy
Zr1 0.000 0.000 0.000 1
Zn1 0.000 0.500 0.750 1
P1 0.000 0.000 0.500 1
P2 0.000 0.500 0.250 1
```

***

Stability summary: most stable run one, least stable run two.